(1)
The following is a DFT calculation (PBE) of a relaxed CuSnSbSe3 crystal.

a = 8.527 Å, b = 4.039 Å, c = 9.074 Å
α = 90.00°, β = 99.54°, γ = 90.00°
Positions (direct):
Cu 0.067 0.250 0.079
Cu 0.933 0.750 0.921
Sn 0.169 0.250 0.768
Sn 0.831 0.750 0.232
Sb 0.335 0.750 0.357
Sb 0.665 0.250 0.643
Se 0.105 0.250 0.359
Se 0.229 0.750 0.009
Se 0.410 0.750 0.660
Se 0.590 0.250 0.340
Se 0.771 0.250 0.991
Se 0.895 0.750 0.641

## Properties
E_form (uncorrected)   -256 meV/atom
Mass density   5.828 g/cm³
Magnetic moment   0.0 μB per formula unit
Crystal system   monoclinic
Space-group type   P2_1/m
Final energy   -48.43 eV per cell

(2)
The following is a DFT calculation (PBE) of a relaxed SrCuSbSe2 crystal.

a = 5.662 Å, b = 5.662 Å, c = 5.174 Å
α = 90.00°, β = 90.00°, γ = 90.00°
Positions (direct):
Sr 0.000 0.000 0.000
Cu 0.000 0.000 0.500
Sb 0.500 0.500 0.500
Se 0.000 0.500 0.000
Se 0.500 0.000 0.000

## Properties
E_form (uncorrected)   533 meV/atom
Mass density   4.313 g/cm³
Magnetic moment   0.0 μB per formula unit
Crystal system   tetragonal
Space-group type   P4/mmm
Final energy   -14.20 eV per cell

(3)
The following is a DFT calculation (PBE) of a relaxed SrCu2SbSe4 crystal.

a = 6.781 Å, b = 7.526 Å, c = 8.206 Å
α = 90.00°, β = 90.00°, γ = 90.00°
Positions (direct):
Sr 0.000 0.000 0.000
Sr 0.500 0.500 0.500
Cu 0.000 0.500 0.163
Cu 0.000 0.500 0.837
Cu 0.500 0.000 0.337
Cu 0.500 0.000 0.663
Sb 0.000 0.000 0.500
Sb 0.500 0.500 0.000
Se 0.237 0.197 0.308
Se 0.237 0.803 0.692
Se 0.263 0.303 0.808
Se 0.263 0.697 0.192
Se 0.737 0.303 0.192
Se 0.737 0.697 0.808
Se 0.763 0.197 0.692
Se 0.763 0.803 0.308

## Properties
E_form (uncorrected)   -533 meV/atom
Mass density   5.173 g/cm³
Magnetic moment   0.0 μB per formula unit
Crystal system   orthorhombic
Space-group type   I222
Final energy   -64.40 eV per cell

(4)
The following is a DFT calculation (PBE) of a relaxed CuTc2SbSe crystal.

a = 4.672 Å, b = 4.672 Å, c = 4.391 Å
α = 90.00°, β = 90.00°, γ = 90.00°
Positions (direct):
Cu 0.000 0.000 0.000
Tc 0.000 0.500 0.500
Tc 0.500 0.000 0.500
Sb 0.500 0.500 0.000
Se 0.000 0.000 0.500

## Properties
E_form (uncorrected)   867 meV/atom
Mass density   7.973 g/cm³
Magnetic moment   1.0 μB per formula unit
Crystal system   tetragonal
Space-group type   P4/mmm
Final energy   -28.10 eV per cell

(5)
The following is a DFT calculation (PBE) of a relaxed CuSbTe2Se crystal.

a = 5.083 Å, b = 5.083 Å, c = 5.161 Å
α = 90.00°, β = 90.00°, γ = 90.00°
Positions (direct):
Cu 0.000 0.000 0.000
Sb 0.000 0.000 0.500
Te 0.000 0.500 0.000
Te 0.500 0.000 0.000
Se 0.500 0.500 0.500

## Properties
E_form (uncorrected)   514 meV/atom
Energy above the lowest structure with this stoichiometry   0 meV per atom
Mass density   6.469 g/cm³
Magnetic moment   0.0 μB per formula unit
Crystal system   tetragonal
Space-group type   P4/mmm
Final energy   -15.42 eV per cell

(6)
The following is a DFT calculation (PBE) of a relaxed CuSbTe2Se crystal.

a = 5.454 Å, b = 5.454 Å, c = 5.436 Å
α = 90.00°, β = 90.00°, γ = 90.00°
Positions (direct):
Cu 0.000 0.000 0.000
Sb 0.500 0.500 0.000
Te 0.000 0.500 0.500
Te 0.500 0.000 0.500
Se 0.500 0.500 0.500

## Properties
E_form (uncorrected)   878 meV/atom
Energy above the lowest structure with this stoichiometry   364 meV per atom
Mass density   5.334 g/cm³
Magnetic moment   0.8 μB per formula unit
Crystal system   tetragonal
Space-group type   P4/mmm
Final energy   -13.60 eV per cell